Entry 1:
Density functional theory data (GGA-PBE) for NdEuHg after structural relaxation.

Cell and atoms, written as extended XYZ:
```
3
Lattice="-1.926 1.926 6.584 1.926 -1.926 6.584 1.926 1.926 -6.584" Properties=species:S:1:pos:R:3 pbc="T T T"
Nd 0.000 0.000 0.000
Eu 0.000 0.000 9.392
Hg 0.000 0.000 4.801
```

## Properties
SG: I4mm, No. 107
Energy of formation from the pure elements: -7.02 kcal/mol of atoms
Excess energy over the best structure of this formula in the dataset: 0 meV per atom
E_tot: -5.419 eV per atom
Crystal system: tetragonal

Entry 2:
Density functional theory data (GGA-PBE) for NdEuHg after structural relaxation.

Cell and atoms, written as extended XYZ:
```
3
Lattice="0.000 3.766 3.766 3.766 0.000 3.766 3.766 3.766 0.000" Properties=species:S:1:pos:R:3 pbc="T T T"
Nd 0.000 0.000 0.000
Eu 3.766 3.766 3.766
Hg 5.648 5.648 5.648
```

## Properties
SG: F-43m, No. 216
Energy of formation from the pure elements: -3.45 kcal/mol of atoms
Excess energy over the best structure of this formula in the dataset: 155 meV per atom
E_tot: -5.264 eV per atom
Crystal system: cubic

Entry 3:
Density functional theory data (GGA-PBE) for Nd2EuHg after structural relaxation.

Cell and atoms, written as extended XYZ:
```
4
Lattice="5.044 0.000 0.000 0.000 5.044 0.000 0.000 0.000 4.858" Properties=species:S:1:pos:R:3 pbc="T T T"
Nd 0.000 2.522 0.000
Nd 2.522 0.000 0.000
Eu 0.000 0.000 2.429
Hg 2.522 2.522 2.429
```

## Properties
SG: P4/mmm, No. 123
Energy of formation from the pure elements: -3.18 kcal/mol of atoms
Excess energy over the best structure of this formula in the dataset: 49 meV per atom
E_tot: -5.166 eV per atom
Crystal system: tetragonal

Entry 4:
Density functional theory data (GGA-PBE) for Nd2EuHg after structural relaxation.

Cell and atoms, written as extended XYZ:
```
4
Lattice="0.000 3.953 3.953 3.953 0.000 3.953 3.953 3.953 0.000" Properties=species:S:1:pos:R:3 pbc="T T T"
Nd 1.977 1.977 1.977
Nd 5.930 5.930 5.930
Eu 0.000 0.000 0.000
Hg 3.953 3.953 3.953
```

## Properties
SG: Fm-3m, No. 225
Energy of formation from the pure elements: -1.94 kcal/mol of atoms
Excess energy over the best structure of this formula in the dataset: 102 meV per atom
E_tot: -5.112 eV per atom
Crystal system: cubic

Entry 5:
Density functional theory data (GGA-PBE) for NdEuHgPb after structural relaxation.

Cell and atoms, written as extended XYZ:
```
4
Lattice="0.000 3.918 3.918 3.918 0.000 3.918 3.918 3.918 0.000" Properties=species:S:1:pos:R:3 pbc="T T T"
Nd 0.000 0.000 0.000
Eu 3.918 3.918 3.918
Hg 5.877 5.877 5.877
Pb 1.959 1.959 1.959
```

## Properties
SG: F-43m, No. 216
Energy of formation from the pure elements: -12.12 kcal/mol of atoms
E_tot: -5.289 eV per atom
Crystal system: cubic

Entry 6:
Density functional theory data (GGA-PBE) for PrNdEuHg after structural relaxation.

Cell and atoms, written as extended XYZ:
```
4
Lattice="0.000 3.966 3.966 3.966 0.000 3.966 3.966 3.966 0.000" Properties=species:S:1:pos:R:3 pbc="T T T"
Pr 0.000 0.000 0.000
Nd 3.966 3.966 3.966
Eu 5.949 5.949 5.949
Hg 1.983 1.983 1.983
```

## Properties
SG: F-43m, No. 216
Energy of formation from the pure elements: -2.03 kcal/mol of atoms
E_tot: -5.119 eV per atom
Crystal system: cubic